{"formula": "BaGeC", "functional": "GGA-PBE", "state": "relaxed", "e_tot_ev_per_atom": -5.450, "formation_enthalpy_0k_mev_per_atom": -195, "lattice": [[4.3302, 0.0000, 0.0000], [-2.1651, 3.8342, 0.0374], [0.0000, -1.9909, 9.4165]], "species": ["Ba", "Ba", "Ge", "Ge", "C", "C"], "fractional_positions": [[0.0708, 0.1416, 0.7837], [0.9292, 0.8584, 0.2163], [0.3212, 0.6424, 0.4513], [0.6788, 0.3576, 0.5487], [0.5646, 0.1291, 0.0524], [0.4354, 0.8709, 0.9476]]}


{"formula": "BaGe2C2", "functional": "GGA-PBE", "state": "relaxed", "e_tot_ev_per_atom": -5.236, "e_above_lowest_polymorph_mev_per_atom": 0, "formation_enthalpy_0k_mev_per_atom": 685, "lattice": [[6.7365, 0.0000, 0.0000], [0.0000, 6.7365, 0.0000], [0.0000, 0.0000, 5.0071]], "species": ["C", "C", "C", "C", "Ge", "Ge", "Ge", "Ge", "Ba", "Ba"], "fractional_positions": [[0.4325, 0.9325, 0.0000], [0.9325, 0.5675, 0.0000], [0.5675, 0.0675, 0.0000], [0.0675, 0.4325, 0.0000], [0.1272, 0.6272, 0.5000], [0.6272, 0.8728, 0.5000], [0.8728, 0.3728, 0.5000], [0.3728, 0.1272, 0.5000], [0.0000, 0.0000, 0.0000], [0.5000, 0.5000, 0.0000]]}


{"formula": "Ba2SiGeC", "functional": "GGA-PBE", "state": "relaxed", "e_tot_ev_per_atom": -4.558, "lattice": [[6.0586, 0.0000, 0.0000], [0.0000, 3.6434, 0.0000], [0.0000, 0.0000, 6.0586]], "species": ["C", "Ge", "Si", "Ba", "Ba"], "fractional_positions": [[0.0000, 0.0000, 0.0000], [0.5000, 0.5000, 0.5000], [0.0000, 0.5000, 0.0000], [0.0000, 0.0000, 0.5000], [0.5000, 0.0000, 0.0000]]}


{"formula": "BaTaGeC2", "functional": "GGA-PBE", "state": "relaxed", "e_tot_ev_per_atom": -5.724, "formation_enthalpy_0k_mev_per_atom": 1644, "lattice": [[-3.6192, 2.0354, -1.1827], [-2.5461, -1.4053, 5.3729], [1.5179, 3.6758, 1.6807]], "species": ["C", "C", "Ge", "Ba", "Ta"], "fractional_positions": [[0.0000, 0.0000, 0.5000], [0.5000, 0.0000, 0.0000], [0.5000, 0.5000, 0.5000], [0.0000, 0.5000, 0.0000], [0.0000, 0.0000, 0.0000]]}